1.
TmCoAs | PBE-GGA | optimized geometry

POSCAR file:
```
TmCoAs
1.0
6.687 0.000 0.000
0.000 6.687 0.000
0.000 0.000 5.583
Tm As Co
4 4 4
Cartesian
4.754 4.754 0.000
5.277 1.410 1.396
1.933 1.933 2.791
1.410 5.277 4.187
4.038 4.038 2.791
2.649 2.649 0.000
0.694 5.992 1.396
5.992 0.694 4.187
2.278 4.408 1.396
5.622 5.622 2.791
1.065 1.065 0.000
4.408 2.278 4.187
```

Theoretical density = 8.1 g/cm3
Energy of formation = -430 meV per atom
VASP energy = -70.07 eV/cell
Symmetry = P4_12_12, No. 92

---

2.
LiCaGaIr | PBE-GGA | optimized geometry

POSCAR file:
```
LiCaGaIr
1.0
4.597 0.000 0.000
2.298 3.981 0.000
2.298 1.327 3.753
Ir Ga Ca Li
1 1 1 1
Cartesian
2.298 1.327 0.938
4.597 2.654 1.877
6.895 3.981 2.815
0.000 0.000 0.000
```

Theoretical density = 7.5 g/cm3
Distance to the lowest polymorph of the same formula = 0.183 eV per atom
Energy of formation = -270 meV per atom
VASP energy = -16.88 eV/cell
Symmetry = F-43m, No. 216

---

3.
LiCe2Hg8 | PBE-GGA | optimized geometry

POSCAR file:
```
LiCe2Hg8
1.0
-1.784 -3.385 -3.427
5.157 1.870 -4.532
2.793 -4.506 6.846
Hg Li Ce
8 1 2
Cartesian
4.479 -3.517 1.142
2.442 -7.366 2.154
3.982 -1.697 -4.248
4.701 -4.299 -2.051
1.466 -1.723 0.938
3.724 1.345 -3.267
2.184 -4.325 3.135
1.687 -2.504 -2.255
-0.892 -1.693 -1.714
4.366 -1.175 -1.112
1.800 -4.846 -0.001
```

Theoretical density = 11.5 g/cm3
Energy of formation = -266 meV per atom
VASP energy = -19.13 eV/cell
Symmetry = C2/m, No. 12

---

4.
PmH2F8 | PBE-GGA | optimized geometry

POSCAR file:
```
PmH2F8
1.0
6.349 -0.095 0.862
1.462 6.555 -3.025
0.034 -3.711 6.363
F H Pm
8 2 1
Cartesian
1.994 5.287 -1.076
4.099 0.494 1.164
6.834 4.521 -1.178
5.907 1.570 2.616
5.852 -2.538 5.277
1.012 -1.771 5.379
3.747 2.256 3.037
1.939 1.179 1.585
2.966 0.850 1.380
4.880 1.900 2.820
0.000 0.000 0.000
```

Theoretical density = 2.6 g/cm3
Distance to the lowest polymorph of the same formula = 0.000 eV per atom
VASP energy = -47.21 eV/cell
Symmetry = C2/m, No. 12

---

5.
Sc2PS | PBE-GGA | optimized geometry

POSCAR file:
```
Sc2PS
1.0
4.457 0.000 0.000
-2.229 3.860 0.000
0.000 0.000 5.195
Sc S P
2 1 1
Cartesian
2.229 1.287 4.871
0.000 0.000 2.273
2.229 1.287 2.273
0.000 0.000 4.871
```

Theoretical density = 2.8 g/cm3
Distance to the lowest polymorph of the same formula = 0.224 eV per atom
VASP energy = -28.27 eV/cell
Formation energy (no corrections) = -1.52 eV per atom
Symmetry = P-6m2, No. 187

---

6.
Hf2BeAlRu | PBE-GGA | optimized geometry

POSCAR file:
```
Hf2BeAlRu
1.0
-2.218 3.243 -2.975
2.244 -1.545 -3.356
-3.581 -3.267 -0.891
Al Hf Ru Be
1 2 1 1
Cartesian
0.000 0.000 0.000
-1.109 1.621 -1.488
-1.790 -1.633 -0.446
1.122 -0.772 -1.678
-1.777 -0.784 -3.611
```

Theoretical density = 7.8 g/cm3
Energy of formation = 1032 meV per atom
VASP energy = -31.49 eV/cell
Symmetry = P4/mmm, No. 123

---

7.
AcLa2Zr | PBE-GGA | optimized geometry

POSCAR file:
```
AcLa2Zr
1.0
3.560 0.000 0.000
1.780 3.083 0.000
1.780 1.028 12.495
Zr La Ac
1 2 1
Cartesian
0.000 0.000 0.000
1.780 1.028 9.440
5.339 3.083 3.055
3.560 2.055 6.247
```

Theoretical density = 7.2 g/cm3
Distance to the lowest polymorph of the same formula = 0.220 eV per atom
Energy of formation = 402 meV per atom
VASP energy = -20.90 eV/cell
Symmetry = R-3m, No. 166

---

8.
AcSm2Ho | PBE-GGA | optimized geometry

POSCAR file:
```
AcSm2Ho
1.0
5.259 0.000 0.000
0.000 5.197 0.000
0.000 0.000 5.197
Sm Ho Ac
2 1 1
Cartesian
0.000 2.598 0.000
0.000 0.000 2.598
2.629 0.000 0.000
2.629 2.598 2.598
```

Theoretical density = 8.1 g/cm3
Distance to the lowest polymorph of the same formula = 0.000 eV per atom
Energy of formation = 43 meV per atom
VASP energy = -17.95 eV/cell
Symmetry = P4/mmm, No. 123